# Cs5Rb2H

Cs5Rb2H after structural relaxation (PBE, Alexandria).

Calculated values
The calculation puts the total energy at -0.0860 Ry per atom. The magnetic moment comes out at 0.0 Bohr magnetons per cell. The density of states at the Fermi level is 6.7 states/eV/f.u. Its symmetry is No. 107.

```
Cs5Rb2H
1.0
8.714 0.000 -4.786
-2.628 8.308 -4.786
0.022 0.031 10.367
Cs Rb H
5 2 1
direct
0.778 0.234 0.013 Cs
0.234 0.234 0.013 Cs
0.778 0.778 0.013 Cs
0.234 0.778 0.013 Cs
0.769 0.769 0.537 Cs
0.255 0.755 0.511 Rb
0.755 0.255 0.511 Rb
0.972 0.972 0.944 H
```